DyHo2Mn: optimized geometry, PBE.

Lattice parameters (Å, degrees): 3.4523 3.4523 31.3803 90.00 90.00 120.00
Last column: nearest neighbours and their distance in Å.
Space group R-3m (No. 166, hexagonal axes)
One atom of each set of equivalent atoms:
Dy 0.0000 0.0000 0.0000 (multiplicity 3)  6 Dy 3.45, 6 Ho 3.57
Ho 0.0000 0.0000 0.2390 (multiplicity 6)  3 Mn 3.02
Mn 0.0000 0.0000 0.5000 (multiplicity 3)  6 Ho 3.02

Computed properties:
**Total magnetic moment**: 10.54 Bohr magnetons per cell
**Excess energy over the best structure of this formula in the dataset**: 2.82 kcal/mol of atoms
**D(E_F)**: 13.91 states/eV/cell
**ΔE_f**: 5.59 kcal/mol of atoms
**Crystal system**: trigonal
**Total energy**: -21.96 eV per formula unit
**ρ**: 8.42 Mg/m³